1.
Entry from Alexandria via LeMat-Bulk: a relaxed structure of ReAs2P (PBE).

Calculated values
DFT formation energy: 0.36 eV/atom
SG: No. 166
Total moment: 0.00 μB per cell

Lattice parameters (Å, degrees): 7.7775 7.7775 7.7775 23.54 23.54 23.54
With the nearest neighbours (Å) after each atom.
Element x y z (fractional)
Re1 0.0000 0.0000 0.0000  6 As 2.58
As1 0.2535 0.2535 0.2535  3 Re 2.58, 3 P 2.69
As2 0.7465 0.7465 0.7465  3 Re 2.58, 3 P 2.69
P1 0.5000 0.5000 0.5000  6 As 2.69



2.
Entry from Alexandria via LeMat-Bulk: a relaxed structure of HoPuIn (PBE).

Calculated values
Relative energy among the computed polymorphs: 0.1360 eV per atom
DFT formation energy: -0.09 eV/atom
SG: No. 156
Total moment: 6.12 μB per cell

Lattice parameters (Å, degrees): 5.3075 5.3075 3.3263 90.00 90.00 120.00
With the nearest neighbours (Å) after each atom.
Element x y z (fractional)
Ho1 0.0000 0.0000 0.0000  3 In 3.21, 2 Ho 3.33, 3 Pu 3.34
Pu1 0.3333 0.6667 0.6030  3 In 3.24, 2 Pu 3.33, 3 Ho 3.34
In1 0.6667 0.3333 0.2825  3 Ho 3.21, 3 Pu 3.24, 2 In 3.33



3.
Entry from Alexandria via LeMat-Bulk: a relaxed structure of Li3Dy2ScTe6 (PBE).

Calculated values
SG: No. 12
Formation energy (no corrections): -15.00 eV/f.u.
Total moment: 0.00 μB per cell

Lattice parameters (Å, degrees): 7.4191 7.4191 7.4525 99.55 99.55 120.02
With the nearest neighbours (Å) after each atom.
Element x y z (fractional)
Li1 0.0000 0.0000 0.0000  6 Te 2.99-3.10
Li2 0.3309 0.6691 0.0000  6 Te 2.99-3.07
Li3 0.6691 0.3309 0.0000  6 Te 2.99-3.07
Dy1 0.1664 0.8336 0.5000  6 Te 3.07-3.08
Dy2 0.8336 0.1664 0.5000  6 Te 3.07-3.08
Sc1 0.5000 0.5000 0.5000  6 Te 2.96-2.97
Te1 0.0940 0.4162 0.2481  1 Sc 2.97, 3 Li 2.99-3.07, 2 Dy 3.08
Te2 0.2621 0.2621 0.7507  1 Sc 2.96, 3 Li 3.02-3.10, 2 Dy 3.07
Te3 0.4162 0.0940 0.2481  1 Sc 2.97, 3 Li 2.99-3.07, 2 Dy 3.08
Te4 0.5838 0.9060 0.7519  1 Sc 2.97, 3 Li 2.99-3.07, 2 Dy 3.08
Te5 0.7379 0.7379 0.2493  1 Sc 2.96, 3 Li 3.02-3.10, 2 Dy 3.07
Te6 0.9060 0.5838 0.7519  1 Sc 2.97, 3 Li 2.99-3.07, 2 Dy 3.08